VASP calculation (PBE) on crystalline Np2Cu2O7 at its relaxed geometry.

a b c (Å): 5.2270 5.5312 5.8248
angles (deg): 101.59 95.73 102.37
With the nearest neighbours (Å) after each atom.
Fractional positions:
Np 0.0000 0.0000 0.0000  3 O 1.91-2.14
Np 0.1603 0.3591 0.5821  5 O 1.99-2.19
Cu 0.5150 0.9227 0.4877  3 O 1.90-1.95
Cu 0.6240 0.4555 0.1638  4 O 1.92-2.08
O 0.0866 0.6773 0.7808  2 Np 2.04-2.14
O 0.2244 0.0335 0.3592  1 Cu 1.90, 1 Np 2.11
O 0.3138 0.2395 0.9207  1 Cu 2.02, 1 Np 2.03
O 0.4681 0.5598 0.4727  2 Cu 1.95-2.08, 1 Np 1.99
O 0.6927 0.7865 0.0691  1 Np 1.91, 1 Cu 1.99
O 0.8392 0.1213 0.6820  1 Cu 1.92, 1 Np 2.11
O 0.9211 0.3170 0.2388  1 Cu 1.92, 1 Np 2.15

Density of states at the Fermi level   5.36 states/eV/cell
E_form (uncorrected)   -2.06 eV per atom
Volume   159.3 Å³ per cell
SG   P1

***

VASP calculation (PBE) on crystalline NpCuPO6 at its relaxed geometry.

a b c (Å): 5.1496 5.1496 8.8598
angles (deg): 90.00 90.00 120.00
With the nearest neighbours (Å) after each atom.
Fractional positions:
Np 0.3333 0.6667 0.2500  6 O 2.12
Np 0.6667 0.3333 0.7500  6 O 2.12
Cu 0.0000 0.0000 0.0000  6 O 2.24
Cu 0.0000 0.0000 0.5000  6 O 2.24
P 0.3333 0.6667 0.7500  6 O 1.74
P 0.6667 0.3333 0.2500  6 O 1.74
O 0.0554 0.3890 0.6390  1 P 1.74
O 0.0554 0.6664 0.8610  1 P 1.74
O 0.3336 0.3890 0.8610  1 P 1.74
O 0.3336 0.9446 0.6390  1 P 1.74
O 0.3890 0.0554 0.1390  1 P 1.74
O 0.3890 0.3336 0.3610  1 P 1.74
O 0.6110 0.6664 0.6390  1 P 1.74
O 0.6110 0.9446 0.8610  1 P 1.74
O 0.6664 0.0554 0.3610  1 P 1.74
O 0.6664 0.6110 0.1390  1 P 1.74
O 0.9446 0.3336 0.1390  1 P 1.74
O 0.9446 0.6110 0.3610  1 P 1.74

Density of states at the Fermi level   9.03 states/eV/cell
E_form (uncorrected)   -1.79 eV per atom
Volume   203.5 Å³ per cell
SG   P-31c

***

VASP calculation (PBE) on crystalline NpPaCuO6 at its relaxed geometry.

a b c (Å): 5.8452 5.8452 8.8967
angles (deg): 90.00 90.00 120.00
With the nearest neighbours (Å) after each atom.
Fractional positions:
Np 0.3333 0.6667 0.2500  6 O 2.09
Np 0.6667 0.3333 0.7500  6 O 2.09
Pa 0.3333 0.6667 0.7500  6 O 2.20
Pa 0.6667 0.3333 0.2500  6 O 2.20
Cu 0.0000 0.0000 0.0000  6 O 2.40
Cu 0.0000 0.0000 0.5000  6 O 2.40
O 0.0131 0.3620 0.1357  1 Np 2.09, 1 Pa 2.20
O 0.0131 0.6511 0.3643  1 Np 2.09, 1 Pa 2.20
O 0.3489 0.3620 0.3643  1 Np 2.09, 1 Pa 2.20
O 0.3489 0.9869 0.1357  1 Np 2.09, 1 Pa 2.20
O 0.3620 0.0131 0.6357  1 Np 2.09, 1 Pa 2.20
O 0.3620 0.3489 0.8643  1 Np 2.09, 1 Pa 2.20
O 0.6380 0.6511 0.1357  1 Np 2.09, 1 Pa 2.20
O 0.6380 0.9869 0.3643  1 Np 2.09, 1 Pa 2.20
O 0.6511 0.0131 0.8643  1 Np 2.09, 1 Pa 2.20
O 0.6511 0.6380 0.6357  1 Np 2.09, 1 Pa 2.20
O 0.9869 0.3489 0.6357  1 Np 2.09, 1 Pa 2.20
O 0.9869 0.6380 0.8643  1 Np 2.09, 1 Pa 2.20

E_form (uncorrected)   -2.47 eV per atom
Volume   263.2 Å³ per cell
SG   P-31c

***

Q: Look up the volume of the third one.
A: 263.2 Å³ per cell